The following is a DFT calculation (SCAN) of Ca2InPb at its PBEsol-relaxed geometry.

Values from the calculation:
Space group: No. 65
Uncorrected energy: -32.808 eV per atom
ΔE_f: -685 meV per atom

Cell lengths 3.8438, 5.4010, 5.4010 Å; angles 90.18, 90.00, 90.00 degrees
Last column: nearest neighbours and their distance in Å.
Element x y z (fractional)
Pb (0.5000, 0.5000, 0.5000)  8 Ca 3.31
Ca (0.0000, 0.5000, 0.0000)  4 Pb 3.31, 4 In 3.31
Ca (0.0000, 0.0000, 0.5000)  4 In 3.31, 4 Pb 3.31
In (0.5000, 0.0000, 0.0000)  8 Ca 3.31